# 1
RbSr3Rh PBE relaxed; density = 2.9 Mg/m³; excess energy over the best structure of this formula in the dataset = 0.041 eV/atom; energy of formation from the pure elements = -0.07 eV per atom
1.0
7.118 0.000 0.000
-3.019 6.490 0.000
-1.033 -1.484 11.334
Rb Sr Rh
2 6 2
Cartesian
-0.621 0.520 11.329
3.686 4.485 0.005
-2.400 5.729 4.183
-1.339 3.586 7.732
1.017 3.528 4.185
2.048 1.477 7.149
4.404 1.420 3.601
5.465 -0.724 7.151
-0.687 1.636 5.674
3.752 3.370 5.660


# 2
RbSr3Rh PBE relaxed; density = 3.1 Mg/m³; excess energy over the best structure of this formula in the dataset = 0.039 eV/atom; energy of formation from the pure elements = -0.07 eV per atom
1.0
7.276 -8.466 0.000
7.276 8.466 0.000
-0.366 0.000 7.973
Rb Sr Rh
4 12 4
Cartesian
1.814 1.264 0.973
1.631 -1.264 4.960
12.556 1.264 3.013
12.373 -1.264 6.999
5.341 4.855 2.910
5.480 2.766 7.347
5.248 1.006 3.665
9.029 4.855 1.076
5.065 -1.006 7.652
8.524 2.766 4.612
5.663 -2.766 3.361
9.122 1.006 0.321
5.158 -4.855 6.897
8.939 -1.006 4.307
8.707 -2.766 0.626
8.846 -4.855 5.063
7.185 2.690 1.993
7.002 0.382 5.980
7.185 -0.382 1.993
7.002 -2.690 5.980


# 3
RbSr2Rh2 PBE relaxed; density = 5.5 Mg/m³; energy of formation from the pure elements = 0.15 eV per atom
1.0
8.955 0.000 0.000
0.000 8.955 0.000
0.000 0.000 3.533
Rb Sr Rh
2 4 4
Cartesian
0.000 0.000 0.000
4.478 4.478 0.000
1.283 3.195 1.766
3.195 7.673 1.766
5.760 1.283 1.766
7.673 5.760 1.766
1.287 5.765 0.000
3.190 1.287 0.000
5.765 7.668 0.000
7.668 3.190 0.000


# 4
RbSr3Rh PBE relaxed; density = 3.4 Mg/m³; excess energy over the best structure of this formula in the dataset = 0.219 eV/atom; energy of formation from the pure elements = 0.11 eV per atom
1.0
3.941 -7.778 0.000
3.941 7.778 0.000
0.000 0.000 7.238
Rb Sr Rh
2 6 2
Cartesian
3.941 6.717 5.428
3.941 -6.717 1.809
1.958 3.163 5.428
1.958 -3.163 1.809
3.941 0.000 0.000
3.941 0.000 3.619
5.924 3.163 5.428
5.924 -3.163 1.809
3.941 2.504 1.809
3.941 -2.504 5.428


# 5
RbSr2Rh PBE relaxed; density = 3.6 Mg/m³; excess energy over the best structure of this formula in the dataset = 0.000 eV/atom; energy of formation from the pure elements = -0.03 eV per atom
1.0
3.819 0.000 0.000
0.000 3.819 0.000
0.000 0.000 11.530
Rb Sr Rh
1 2 1
Cartesian
0.000 0.000 0.000
1.910 1.910 4.062
1.910 1.910 7.468
0.000 0.000 5.765


# 6
RbSr3Rh PBE relaxed; density = 3.2 Mg/m³; excess energy over the best structure of this formula in the dataset = 0.057 eV/atom; energy of formation from the pure elements = -0.05 eV per atom
1.0
8.084 0.000 0.000
-0.168 8.118 0.000
-3.958 -4.057 7.130
Rb Sr Rh
2 6 2
Cartesian
-0.042 2.035 3.297
4.000 2.026 3.833
-1.979 -2.028 3.565
-2.170 0.047 7.117
1.874 0.045 0.013
2.063 -2.028 3.565
2.084 4.016 7.117
6.127 4.015 0.013
-0.127 6.087 1.283
4.085 -2.026 5.846


# 7
Rb3SrRh PBE relaxed; density = 2.6 Mg/m³; excess energy over the best structure of this formula in the dataset = 0.000 eV/atom; energy of formation from the pure elements = 0.60 eV per atom
1.0
6.544 0.000 0.000
0.000 6.544 0.000
0.000 0.000 6.544
Rb Sr Rh
3 1 1
Cartesian
0.000 0.000 3.272
0.000 3.272 0.000
3.272 0.000 0.000
3.272 3.272 3.272
0.000 0.000 0.000


# 8
Rb2Sr4Rh PBE relaxed; density = 2.4 Mg/m³; energy of formation from the pure elements = -0.02 eV per atom
1.0
-3.026 3.026 11.552
3.026 -3.026 11.552
3.026 3.026 -11.552
Rb Sr Rh
2 4 1
Cartesian
0.000 0.000 4.090
0.000 0.000 19.013
3.026 0.000 0.000
0.000 0.000 8.712
0.000 3.026 0.000
0.000 0.000 14.392
0.000 0.000 11.552


# 9
RbSr3Rh PBE relaxed; density = 3.8 Mg/m³; excess energy over the best structure of this formula in the dataset = 0.263 eV/atom; energy of formation from the pure elements = 0.16 eV per atom
1.0
6.061 0.000 0.000
-3.031 5.249 0.000
0.000 0.000 12.350
Rb Sr Rh
2 6 2
Cartesian
0.000 3.500 3.087
3.031 1.750 9.262
0.000 0.000 3.087
0.000 0.000 9.262
0.000 3.500 6.921
0.000 3.500 11.603
3.031 1.750 0.746
3.031 1.750 5.428
0.000 0.000 0.000
0.000 0.000 6.175


# 10
RbSr3Rh PBE relaxed; density = 3.0 Mg/m³; excess energy over the best structure of this formula in the dataset = 0.014 eV/atom; energy of formation from the pure elements = -0.09 eV per atom
1.0
6.348 0.000 0.000
2.923 6.705 0.000
1.870 0.251 11.633
Rb Sr Rh
2 6 2
Cartesian
0.000 0.000 0.000
3.093 2.713 1.069
3.016 3.482 5.399
4.869 6.200 7.301
5.166 1.750 8.192
6.241 5.315 3.709
7.993 4.365 8.991
6.144 1.226 4.509
6.281 3.765 6.208
7.951 5.916 6.492


# 11
RbSr3Rh PBE relaxed; density = 3.1 Mg/m³; excess energy over the best structure of this formula in the dataset = 0.306 eV/atom; energy of formation from the pure elements = 0.20 eV per atom
1.0
4.243 2.450 3.882
-4.243 2.450 3.882
0.000 -4.900 3.882
Rb Sr Rh
1 3 1
Cartesian
0.000 0.000 0.000
0.000 -2.318 7.102
-2.007 1.159 7.102
2.007 1.159 7.102
0.000 0.000 8.602


# 12
RbSr3Rh PBE relaxed; density = 2.9 Mg/m³; excess energy over the best structure of this formula in the dataset = 0.018 eV/atom; energy of formation from the pure elements = -0.09 eV per atom
1.0
6.622 0.000 0.000
3.309 7.106 0.000
3.298 2.658 11.137
Rb Sr Rh
2 6 2
Cartesian
0.000 0.000 0.000
3.316 2.882 0.533
3.307 4.248 4.606
6.618 8.355 7.076
6.618 6.139 3.402
6.618 4.239 7.232
6.619 1.244 4.447
9.929 6.456 8.251
4.975 6.298 5.833
8.261 6.298 5.833


# 13
RbSrRh3 PBE relaxed; density = 5.5 Mg/m³; excess energy over the best structure of this formula in the dataset = 0.000 eV/atom; energy of formation from the pure elements = 1.41 eV per atom
1.0
5.254 0.000 0.000
0.000 5.254 0.000
0.000 0.000 5.254
Rb Sr Rh
1 1 3
Cartesian
0.000 0.000 0.000
2.627 2.627 2.627
0.000 2.627 2.627
2.627 0.000 2.627
2.627 2.627 0.000


# 14
RbSr3Rh PBE relaxed; density = 2.7 Mg/m³; excess energy over the best structure of this formula in the dataset = 0.031 eV/atom; energy of formation from the pure elements = -0.08 eV per atom
1.0
3.773 2.178 11.169
-3.773 2.178 11.169
0.000 -4.356 11.169
Rb Sr Rh
2 6 2
Cartesian
0.000 0.000 5.580
0.000 0.000 27.926
-2.446 -0.069 12.776
-1.163 -2.153 20.730
1.283 -2.084 12.776
-1.283 2.084 20.730
1.163 2.153 12.776
2.446 0.069 20.730
0.000 0.000 11.135
0.000 0.000 22.371


# 15
RbSr3Rh PBE relaxed; density = 2.9 Mg/m³; excess energy over the best structure of this formula in the dataset = 0.275 eV/atom; energy of formation from the pure elements = 0.17 eV per atom
1.0
-4.067 4.067 7.689
4.067 -4.067 7.689
4.067 4.067 -7.689
Rb Sr Rh
2 6 2
Cartesian
0.000 0.000 2.084
0.000 0.000 13.294
4.067 0.000 1.670
4.067 2.043 -1.949
4.067 0.000 6.019
0.000 2.025 5.740
2.043 4.067 1.949
2.025 0.000 9.638
0.000 0.000 7.689
0.000 4.067 3.845


# 16
RbSr2Rh PBE relaxed; density = 3.0 Mg/m³; excess energy over the best structure of this formula in the dataset = 0.001 eV/atom; energy of formation from the pure elements = -0.03 eV per atom
1.0
2.220 1.282 11.864
-2.220 1.282 11.864
0.000 -2.564 11.864
Rb Sr Rh
1 2 1
Cartesian
0.000 0.000 0.000
0.000 0.000 4.421
0.000 0.000 31.170
0.000 0.000 17.796


# 17
RbSr3Rh PBE relaxed; density = 2.2 Mg/m³; excess energy over the best structure of this formula in the dataset = 0.866 eV/atom; energy of formation from the pure elements = 0.76 eV per atom
1.0
-3.118 3.118 17.289
3.118 -3.118 17.289
3.118 3.118 -17.289
Rb Sr Rh
2 6 2
Cartesian
0.000 0.000 0.000
0.000 3.118 8.644
0.000 0.000 11.799
0.000 1.479 4.145
0.000 0.000 22.779
-1.639 3.118 13.144
1.639 3.118 13.144
0.000 4.757 4.145
3.118 0.000 4.481
3.118 0.000 12.808


# 18
RbSr3Rh PBE relaxed; density = 2.7 Mg/m³; excess energy over the best structure of this formula in the dataset = 0.033 eV/atom; energy of formation from the pure elements = -0.07 eV per atom
1.0
7.524 0.000 0.000
3.762 6.521 0.000
2.404 -0.005 11.237
Rb Sr Rh
2 6 2
Cartesian
0.000 0.000 0.000
6.166 2.140 11.236
3.658 2.402 7.247
2.394 0.132 4.029
7.437 4.406 7.238
6.282 2.402 3.987
7.546 0.132 7.204
10.028 4.407 3.997
4.970 4.475 5.617
8.731 2.317 5.617


# 19
Rb3SrRh PBE relaxed; density = 1.5 Mg/m³; excess energy over the best structure of this formula in the dataset = 0.775 eV/atom; energy of formation from the pure elements = 1.37 eV per atom
1.0
7.941 0.000 0.000
0.000 7.941 0.000
0.000 0.000 7.941
Rb Sr Rh
3 1 1
Cartesian
0.000 0.000 3.971
0.000 3.971 0.000
3.971 0.000 0.000
0.000 0.000 0.000
3.971 3.971 3.971


# 20
RbSr3Rh PBE relaxed; density = 3.7 Mg/m³; excess energy over the best structure of this formula in the dataset = 0.163 eV/atom; energy of formation from the pure elements = 0.06 eV per atom
1.0
11.251 0.000 0.000
0.000 7.051 0.000
-6.658 0.000 10.279
Rb Sr Rh
4 12 4
Cartesian
1.438 0.415 0.933
-1.891 3.110 6.072
6.484 3.940 4.207
3.155 6.635 9.346
6.687 0.005 7.042
10.016 3.521 1.903
-5.422 3.530 8.376
-2.093 7.046 3.236
2.756 4.421 1.790
-0.573 6.155 6.930
-1.779 1.759 9.794
1.550 1.766 4.655
3.043 5.284 5.624
6.372 5.291 0.485
5.166 0.896 3.349
1.837 2.629 8.488
0.480 5.274 3.962
-2.849 5.302 9.102
7.443 1.749 1.177
4.114 1.776 6.316


# 21
RbSr3Rh PBE relaxed; density = 3.2 Mg/m³; excess energy over the best structure of this formula in the dataset = 1.595 eV/atom; energy of formation from the pure elements = 1.49 eV per atom
1.0
6.166 0.000 0.000
0.000 6.166 0.000
0.000 0.000 6.166
Rb Sr Rh
1 3 1
Cartesian
0.000 0.000 0.000
0.000 0.000 3.083
0.000 3.083 0.000
3.083 0.000 0.000
3.083 3.083 3.083


# 22
RbSr3Rh PBE relaxed; density = 3.3 Mg/m³; excess energy over the best structure of this formula in the dataset = 0.021 eV/atom; energy of formation from the pure elements = -0.09 eV per atom
1.0
6.099 0.000 0.000
0.000 6.099 0.000
0.000 0.000 6.099
Rb Sr Rh
1 3 1
Cartesian
0.000 0.000 0.000
0.000 3.050 3.050
3.050 0.000 3.050
3.050 3.050 0.000
3.050 3.050 3.050


# 23
RbSrVRh2 PBE relaxed; density = 4.8 Mg/m³; energy of formation from the pure elements = 1.70 eV per atom
1.0
5.113 0.000 0.000
0.000 5.113 0.000
0.000 0.000 5.712
Rb Sr V Rh
1 1 1 2
Cartesian
0.000 0.000 0.000
0.000 0.000 2.856
2.556 2.556 0.000
0.000 2.556 2.856
2.556 0.000 2.856


# 24
RbSr2YRh PBE relaxed; density = 3.6 Mg/m³; energy of formation from the pure elements = -0.08 eV per atom
1.0
6.200 0.000 0.000
0.000 6.200 0.000
0.000 0.000 5.419
Rb Sr Y Rh
1 2 1 1
Cartesian
0.000 0.000 0.000
0.000 3.100 2.709
3.100 0.000 2.709
3.100 3.100 0.000
3.100 3.100 2.709